! La2NdAg | Alexandria via LeMat-Bulk | PBE-GGA | optimized geometry; values from VASP
&SYSTEM
  ibrav = 0, nat = 4, ntyp = 3
/
ATOMIC_SPECIES
La 138.91 La.upf
Nd 144.24 Nd.upf
Ag 107.87 Ag.upf
CELL_PARAMETERS angstrom
0.000 3.945 3.945
3.945 0.000 3.945
3.945 3.945 0.000
ATOMIC_POSITIONS angstrom
La 1.972 1.972 1.972
La 5.917 5.917 5.917
Nd 0.000 0.000 0.000
Ag 3.945 3.945 3.945
! space-group type: Fm-3m
! magnetic moment: 0.420 μB/atom
! energy of formation: 6.51 kJ per mole of atoms